Crystalline PrIn4PbS8 at its relaxed geometry. Source: Alexandria via LeMat-Bulk, functional GGA-PBE.

POSCAR file:
```
PrIn4PbS8
1.0
3.9735 2.2941 6.9220
-3.9735 2.2941 6.9220
0.0000 -4.5882 6.9220
Pr In Pb S
1 4 1 8
Direct
0.0000 0.0000 0.0000 Pr
0.4985 0.9994 0.9994 In
0.6254 0.6254 0.6254 In
0.9994 0.4985 0.9994 In
0.9994 0.9994 0.4985 In
0.3703 0.3703 0.3703 Pb
0.2240 0.7492 0.7492 S
0.2283 0.2283 0.2283 S
0.2464 0.2464 0.7869 S
0.2464 0.7869 0.2464 S
0.7492 0.2240 0.7492 S
0.7492 0.7492 0.2240 S
0.7651 0.7651 0.7651 S
0.7869 0.2464 0.2464 S
```

Computed properties:
Raw formation energy (eV per atom): -0.729
E_tot (eV/atom): -4.4758

Crystalline KRhCl2 at its relaxed geometry. Source: Alexandria via LeMat-Bulk, functional GGA-PBE.

POSCAR file:
```
KRhCl2
1.0
4.0902 0.0000 0.0000
-2.0451 3.5422 0.0000
0.0000 0.0000 19.6915
K Rh Cl
3 3 6
Direct
0.0000 0.0000 0.0000 K
0.3333 0.6667 0.6667 K
0.6667 0.3333 0.3333 K
0.0000 0.0000 0.1733 Rh
0.3333 0.6667 0.8400 Rh
0.6667 0.3333 0.5067 Rh
0.0000 0.0000 0.5665 Cl
0.0000 0.0000 0.7733 Cl
0.3333 0.6667 0.2331 Cl
0.3333 0.6667 0.4400 Cl
0.6667 0.3333 0.1066 Cl
0.6667 0.3333 0.8998 Cl
```

Computed properties:
Raw formation energy (eV per atom): -0.678
Energy above the lowest structure with this stoichiometry (eV per atom): 0.103
E_tot (eV/atom): -3.7135

Crystalline K4UBi3Te8 at its relaxed geometry. Source: Alexandria via LeMat-Bulk, functional GGA-PBE.

POSCAR file:
```
K4UBi3Te8
1.0
4.6212 2.6680 8.2380
-4.6212 2.6680 8.2380
0.0000 -5.3361 8.2380
K U Bi Te
4 1 3 8
Direct
0.0000 0.0000 0.0000 K
0.0000 0.5000 0.5000 K
0.5000 0.0000 0.5000 K
0.5000 0.5000 0.0000 K
0.5000 0.5000 0.5000 U
0.0000 0.0000 0.5000 Bi
0.0000 0.5000 0.0000 Bi
0.5000 0.0000 0.0000 Bi
0.2369 0.2369 0.2369 Te
0.2404 0.7352 0.7352 Te
0.2648 0.2648 0.7596 Te
0.2648 0.7596 0.2648 Te
0.7352 0.2404 0.7352 Te
0.7352 0.7352 0.2404 Te
0.7596 0.2648 0.2648 Te
0.7631 0.7631 0.7631 Te
```

Computed properties:
Raw formation energy (eV per atom): -0.674
E_tot (eV/atom): -3.9526

Crystalline TlTe3 at its relaxed geometry. Source: Alexandria via LeMat-Bulk, functional GGA-PBE.

POSCAR file:
```
TlTe3
1.0
5.9067 0.0000 0.0000
0.0000 5.9067 0.0000
0.0000 0.0000 5.9067
Tl Te
1 3
Direct
0.0000 0.0000 0.0000 Tl
0.0000 0.0000 0.5000 Te
0.0000 0.5000 0.0000 Te
0.5000 0.0000 0.0000 Te
```

Computed properties:
Raw formation energy (eV per atom): 0.740
E_tot (eV/atom): -2.2080

Crystalline NaGdSiO4 at its relaxed geometry. Source: Alexandria via LeMat-Bulk, functional GGA-PBE.

POSCAR file:
```
NaGdSiO4
1.0
-5.9084 5.9084 2.6922
5.9084 -5.9084 2.6922
5.9084 5.9084 -2.6922
Na Gd Si O
4 4 4 16
Direct
0.0866 0.3930 0.4796 Na
0.3930 0.9134 0.3064 Na
0.6070 0.0866 0.6936 Na
0.9134 0.6070 0.5204 Na
0.1210 0.8090 0.9300 Gd
0.1910 0.1210 0.3119 Gd
0.8090 0.8790 0.6881 Gd
0.8790 0.1910 0.0700 Gd
0.2621 0.5984 0.8605 Si
0.4016 0.2621 0.6637 Si
0.5984 0.7379 0.3363 Si
0.7379 0.4016 0.1395 Si
0.0504 0.2832 0.8475 O
0.1212 0.6036 0.7248 O
0.2029 0.0504 0.7672 O
0.2678 0.3050 0.5728 O
0.2832 0.4357 0.2328 O
0.3050 0.7322 0.0371 O
0.3964 0.1212 0.5175 O
0.4357 0.2029 0.1525 O
0.5643 0.7971 0.8475 O
0.6036 0.8788 0.4825 O
0.6950 0.2678 0.9629 O
0.7168 0.5643 0.7672 O
0.7322 0.6950 0.4272 O
0.7971 0.9496 0.2328 O
0.8788 0.3964 0.2752 O
0.9496 0.7168 0.1525 O
```

Computed properties:
Raw formation energy (eV per atom): -2.891
E_tot (eV/atom): -8.6993

Crystalline Sm12CoBi6 at its relaxed geometry. Source: Alexandria via LeMat-Bulk, functional GGA-PBE.

POSCAR file:
```
Sm12CoBi6
1.0
6.7179 3.8786 4.1714
-6.7179 3.8786 4.1714
0.0000 -7.7572 4.1714
Sm Co Bi
12 1 6
Direct
0.0040 0.9454 0.6939 Sm
0.0546 0.3061 0.9960 Sm
0.1982 0.5468 0.4167 Sm
0.3061 0.9960 0.0546 Sm
0.4167 0.1982 0.5468 Sm
0.4532 0.5833 0.8018 Sm
0.5468 0.4167 0.1982 Sm
0.5833 0.8018 0.4532 Sm
0.6939 0.0040 0.9454 Sm
0.8018 0.4532 0.5833 Sm
0.9454 0.6939 0.0040 Sm
0.9960 0.0546 0.3061 Sm
0.0000 0.0000 0.0000 Co
0.1186 0.3143 0.6482 Bi
0.3143 0.6482 0.1186 Bi
0.3518 0.8814 0.6857 Bi
0.6482 0.1186 0.3143 Bi
0.6857 0.3518 0.8814 Bi
0.8814 0.6857 0.3518 Bi
```

Computed properties:
E_tot (eV/atom): -5.0516

Number 1: calculated volume 27.04 A^3/atom. Number 2: calculated volume 23.78 A^3/atom. Number 3: calculated volume 38.09 A^3/atom. Number 4: calculated volume 51.52 A^3/atom. Number 5: calculated volume 13.43 A^3/atom. Number 6: calculated volume 34.32 A^3/atom.